Here is an optimized crystal structure of BaMnOF5 from Alexandria via LeMat-Bulk. Energies are from PBE+U.

Results
E   -85.4 eV/cell

Structure (POSCAR):
```
BaMnOF5
1.0
5.777 0.000 0.000
0.000 8.156 0.000
-2.034 0.000 5.598
Ba Mn O F
2 2 2 10
Cartesian
-0.360 2.039 2.093 Ba
4.104 6.117 3.504 Ba
2.889 0.000 0.000 Mn
2.889 4.078 0.000 Mn
1.309 6.117 2.449 O
2.434 2.039 3.148 O
-0.364 0.320 4.149 F
-0.364 3.758 4.149 F
1.529 0.394 1.228 F
1.529 3.684 1.228 F
0.149 6.117 5.506 F
3.594 2.039 0.092 F
2.214 4.472 4.370 F
2.214 7.762 4.370 F
4.107 4.398 1.449 F
4.107 7.837 1.449 F
```